No. 1
LaPHPd2: optimized geometry, PBE. Values from VASP.

Output
total energy: -5.23 eV per atom

```
&SYSTEM
  ibrav = 0, nat = 5, ntyp = 4
/
ATOMIC_SPECIES
La 138.91 La.upf
P 30.97 P.upf
H 1.01 H.upf
Pd 106.42 Pd.upf
ATOMIC_POSITIONS crystal
La 0.0000 0.0000 0.0000
P 0.5000 0.5000 0.0000
H 0.5000 0.5000 0.5000
Pd 0.0000 0.5000 0.5000
Pd 0.5000 0.0000 0.5000
CELL_PARAMETERS angstrom
4.1193 0.0000 0.0000
0.0000 4.1193 0.0000
0.0000 0.0000 4.8631
```

***

No. 2
LaPmPH: optimized geometry, PBE. Values from VASP.

Output
total energy: -5.34 eV per atom

```
&SYSTEM
  ibrav = 0, nat = 4, ntyp = 4
/
ATOMIC_SPECIES
La 138.91 La.upf
Pm 145.00 Pm.upf
P 30.97 P.upf
H 1.01 H.upf
ATOMIC_POSITIONS crystal
La 0.0000 0.0000 0.0000
Pm 0.5000 0.5000 0.5000
P 0.2500 0.2500 0.2500
H 0.7500 0.7500 0.7500
CELL_PARAMETERS angstrom
0.0000 3.4555 3.4555
3.4555 0.0000 3.4555
3.4555 3.4555 0.0000
```

***

No. 3
La2PHPt6: optimized geometry, PBE. Values from VASP.

Output
total energy: -6.30 eV per atom

```
&SYSTEM
  ibrav = 0, nat = 10, ntyp = 4
/
ATOMIC_SPECIES
La 138.91 La.upf
P 30.97 P.upf
H 1.01 H.upf
Pt 195.08 Pt.upf
ATOMIC_POSITIONS crystal
La 0.2224 0.2224 0.1659
La 0.7776 0.7776 0.8341
P 0.5000 0.5000 0.0000
H 0.0000 0.0000 0.5000
Pt 0.2333 0.7263 0.6945
Pt 0.2336 0.2336 0.6959
Pt 0.2737 0.7667 0.3055
Pt 0.7263 0.2333 0.6945
Pt 0.7664 0.7664 0.3041
Pt 0.7667 0.2737 0.3055
CELL_PARAMETERS angstrom
5.0189 -2.8995 0.0000
5.0189 2.8995 0.0000
-3.3379 0.0000 5.9675
```

***

No. 4
LaP2HPt: optimized geometry, PBE. Values from VASP.

Output
total energy: -4.17 eV per atom

```
&SYSTEM
  ibrav = 0, nat = 5, ntyp = 4
/
ATOMIC_SPECIES
La 138.91 La.upf
P 30.97 P.upf
H 1.01 H.upf
Pt 195.08 Pt.upf
ATOMIC_POSITIONS crystal
La 0.0000 0.0000 0.0000
P 0.0000 0.5000 0.0000
P 0.5000 0.0000 0.0000
H 0.0000 0.0000 0.5000
Pt 0.5000 0.5000 0.5000
CELL_PARAMETERS angstrom
5.3792 0.0000 0.0000
0.0000 5.3792 0.0000
0.0000 0.0000 3.8843
```

***

No. 5
LaPHPt: optimized geometry, PBE. Values from VASP.

Output
total energy: -6.01 eV per atom

```
&SYSTEM
  ibrav = 0, nat = 4, ntyp = 4
/
ATOMIC_SPECIES
La 138.91 La.upf
P 30.97 P.upf
H 1.01 H.upf
Pt 195.08 Pt.upf
ATOMIC_POSITIONS crystal
La 0.0000 0.0000 0.0000
P 0.6667 0.3333 0.4852
H 0.3333 0.6667 0.9856
Pt 0.3333 0.6667 0.5088
CELL_PARAMETERS angstrom
4.3228 0.0000 0.0000
-2.1614 3.7436 0.0000
0.0000 0.0000 3.9938
```

***

No. 6
LaPHRh: optimized geometry, PBE. Values from VASP.

Output
total energy: -6.28 eV per atom

```
&SYSTEM
  ibrav = 0, nat = 8, ntyp = 4
/
ATOMIC_SPECIES
La 138.91 La.upf
P 30.97 P.upf
H 1.01 H.upf
Rh 102.91 Rh.upf
ATOMIC_POSITIONS crystal
La 0.2500 0.2500 0.1758
La 0.7500 0.7500 0.8242
P 0.2500 0.2500 0.6652
P 0.7500 0.7500 0.3348
H 0.2500 0.7500 0.0000
H 0.7500 0.2500 0.0000
Rh 0.2500 0.7500 0.5000
Rh 0.7500 0.2500 0.5000
CELL_PARAMETERS angstrom
3.9686 0.0000 0.0000
0.0000 3.9686 0.0000
0.0000 0.0000 8.2538
```